First-principles (PBE) data for ScTlSb2Au after structural relaxation, as listed in Alexandria via LeMat-Bulk.

Calculated values
Energy relative to the elements, uncorrected ... 374 meV/atom
Density of states at the Fermi level ... 0.834 states/eV/atom
SG ... P4/mmm, No. 123

CIF file:
```
data_ScTlSb2Au
_chemical_formula_sum 'Sc1 Tl1 Sb2 Au1'
_cell_length_a 5.449
_cell_length_b 5.313
_cell_length_c 5.449
_cell_angle_alpha 90.00
_cell_angle_beta 90.00
_cell_angle_gamma 90.00
_space_group_name_H-M_alt 'P 1'
_space_group_IT_number 1
loop_
_space_group_symop_operation_xyz
'x,y,z'
loop_
_atom_site_label
_atom_site_type_symbol
_atom_site_fract_x
_atom_site_fract_y
_atom_site_fract_z
Sc1 Sc 0.500 0.500 0.500
Sb1 Sb 0.000 0.000 0.500
Sb2 Sb 0.500 0.000 0.000
Tl1 Tl 0.000 0.500 0.000
Au1 Au 0.000 0.000 0.000
```



First-principles (PBE) data for YScSbAu2 after structural relaxation, as listed in Alexandria via LeMat-Bulk.

Calculated values
Energy relative to the elements, uncorrected ... 636 meV/atom
Density of states at the Fermi level ... 0.544 states/eV/atom
SG ... P4/mmm, No. 123

CIF file:
```
data_YScSbAu2
_chemical_formula_sum 'Y1 Sc1 Sb1 Au2'
_cell_length_a 5.215
_cell_length_b 5.865
_cell_length_c 5.215
_cell_angle_alpha 90.00
_cell_angle_beta 90.00
_cell_angle_gamma 90.00
_space_group_name_H-M_alt 'P 1'
_space_group_IT_number 1
loop_
_space_group_symop_operation_xyz
'x,y,z'
loop_
_atom_site_label
_atom_site_type_symbol
_atom_site_fract_x
_atom_site_fract_y
_atom_site_fract_z
Y1 Y 0.000 0.000 0.000
Sb1 Sb 0.500 0.500 0.500
Au1 Au 0.000 0.000 0.500
Au2 Au 0.500 0.000 0.000
Sc1 Sc 0.000 0.500 0.000
```



First-principles (PBE) data for ScZnSb2Au after structural relaxation, as listed in Alexandria via LeMat-Bulk.

Calculated values
Energy relative to the elements, uncorrected ... 218 meV/atom
Density of states at the Fermi level ... 0.650 states/eV/atom
SG ... P4/mmm, No. 123

CIF file:
```
data_ScZnSb2Au
_chemical_formula_sum 'Sc1 Zn1 Sb2 Au1'
_cell_length_a 5.215
_cell_length_b 5.215
_cell_length_c 4.756
_cell_angle_alpha 90.00
_cell_angle_beta 90.00
_cell_angle_gamma 90.00
_space_group_name_H-M_alt 'P 1'
_space_group_IT_number 1
loop_
_space_group_symop_operation_xyz
'x,y,z'
loop_
_atom_site_label
_atom_site_type_symbol
_atom_site_fract_x
_atom_site_fract_y
_atom_site_fract_z
Sc1 Sc 0.500 0.500 0.500
Sb1 Sb 0.000 0.500 0.000
Sb2 Sb 0.500 0.000 0.000
Zn1 Zn 0.000 0.000 0.000
Au1 Au 0.000 0.000 0.500
```



First-principles (PBE) data for SbAuSe2 after structural relaxation, as listed in Alexandria via LeMat-Bulk.

Calculated values
Energy relative to the elements, uncorrected ... -21 meV/atom
Density of states at the Fermi level ... 0.291 states/eV/atom
SG ... P4mm, No. 99

CIF file:
```
data_SbAuSe2
_chemical_formula_sum 'Sb1 Au1 Se2'
_cell_length_a 4.034
_cell_length_b 4.034
_cell_length_c 6.189
_cell_angle_alpha 90.00
_cell_angle_beta 90.00
_cell_angle_gamma 90.00
_space_group_name_H-M_alt 'P 1'
_space_group_IT_number 1
loop_
_space_group_symop_operation_xyz
'x,y,z'
loop_
_atom_site_label
_atom_site_type_symbol
_atom_site_fract_x
_atom_site_fract_y
_atom_site_fract_z
Au1 Au 0.000 0.000 0.331
Sb1 Sb 0.500 0.500 0.838
Se1 Se 0.000 0.000 0.908
Se2 Se 0.500 0.500 0.423
```



First-principles (PBE) data for SbAu2Se after structural relaxation, as listed in Alexandria via LeMat-Bulk.

Calculated values
Energy relative to the elements, uncorrected ... -36 meV/atom
Density of states at the Fermi level ... 0.466 states/eV/atom
SG ... Cm, No. 8

CIF file:
```
data_SbAu2Se
_chemical_formula_sum 'Sb1 Au2 Se1'
_cell_length_a 4.426
_cell_length_b 4.426
_cell_length_c 6.668
_cell_angle_alpha 67.01
_cell_angle_beta 67.01
_cell_angle_gamma 56.56
_space_group_name_H-M_alt 'P 1'
_space_group_IT_number 1
loop_
_space_group_symop_operation_xyz
'x,y,z'
loop_
_atom_site_label
_atom_site_type_symbol
_atom_site_fract_x
_atom_site_fract_y
_atom_site_fract_z
Sb1 Sb 0.555 0.555 0.462
Au1 Au 0.996 0.996 0.009
Au2 Au 0.272 0.272 0.246
Se1 Se 0.677 0.677 0.783
```



First-principles (PBE) data for SbAuSe after structural relaxation, as listed in Alexandria via LeMat-Bulk.

Calculated values
Energy relative to the elements, uncorrected ... -127 meV/atom
SG ... Pc, No. 7

CIF file:
```
data_SbAuSe
_chemical_formula_sum 'Sb2 Au2 Se2'
_cell_length_a 4.791
_cell_length_b 6.144
_cell_length_c 6.088
_cell_angle_alpha 90.00
_cell_angle_beta 110.90
_cell_angle_gamma 90.00
_space_group_name_H-M_alt 'P 1'
_space_group_IT_number 1
loop_
_space_group_symop_operation_xyz
'x,y,z'
loop_
_atom_site_label
_atom_site_type_symbol
_atom_site_fract_x
_atom_site_fract_y
_atom_site_fract_z
Sb1 Sb 0.724 0.356 0.022
Sb2 Sb 0.224 0.644 0.522
Au1 Au 0.267 0.252 0.334
Au2 Au 0.767 0.748 0.834
Se1 Se 0.765 0.140 0.662
Se2 Se 0.265 0.860 0.162
```



First-principles (PBE) data for SbAu2Se after structural relaxation, as listed in Alexandria via LeMat-Bulk.

Calculated values
Energy relative to the elements, uncorrected ... 107 meV/atom
Density of states at the Fermi level ... 0.204 states/eV/atom
SG ... P2/m, No. 10

CIF file:
```
data_SbAu2Se
_chemical_formula_sum 'Sb1 Au2 Se1'
_cell_length_a 5.059
_cell_length_b 2.984
_cell_length_c 6.611
_cell_angle_alpha 63.06
_cell_angle_beta 90.00
_cell_angle_gamma 90.00
_space_group_name_H-M_alt 'P 1'
_space_group_IT_number 1
loop_
_space_group_symop_operation_xyz
'x,y,z'
loop_
_atom_site_label
_atom_site_type_symbol
_atom_site_fract_x
_atom_site_fract_y
_atom_site_fract_z
Au1 Au 0.000 0.499 0.001
Au2 Au 0.000 0.001 0.499
Sb1 Sb 0.500 0.250 0.250
Se1 Se 0.500 0.750 0.750
```



First-principles (PBE) data for Sb3Au12Se5 after structural relaxation, as listed in Alexandria via LeMat-Bulk.

Calculated values
Energy relative to the elements, uncorrected ... 93 meV/atom
Density of states at the Fermi level ... 0.595 states/eV/atom
SG ... Ia-3d, No. 230

CIF file:
```
data_Sb3Au12Se5
_chemical_formula_sum 'Sb12 Au48 Se20'
_cell_length_a 13.615
_cell_length_b 13.615
_cell_length_c 13.615
_cell_angle_alpha 109.47
_cell_angle_beta 109.47
_cell_angle_gamma 109.47
_space_group_name_H-M_alt 'P 1'
_space_group_IT_number 1
loop_
_space_group_symop_operation_xyz
'x,y,z'
loop_
_atom_site_label
_atom_site_type_symbol
_atom_site_fract_x
_atom_site_fract_y
_atom_site_fract_z
Sb1 Sb 0.750 0.375 0.125
Sb2 Sb 0.875 0.750 0.125
Sb3 Sb 0.375 0.750 0.625
Sb4 Sb 0.250 0.125 0.375
Sb5 Sb 0.875 0.125 0.250
Sb6 Sb 0.375 0.625 0.250
Sb7 Sb 0.625 0.375 0.750
Sb8 Sb 0.125 0.875 0.750
Sb9 Sb 0.750 0.875 0.625
Sb10 Sb 0.625 0.250 0.375
Sb11 Sb 0.125 0.250 0.875
Sb12 Sb 0.250 0.625 0.875
Se1 Se 0.125 0.375 0.250
Se2 Se 0.000 0.500 0.000
Se3 Se 0.000 0.000 0.000
Se4 Se 0.375 0.250 0.125
Se5 Se 0.500 0.000 0.500
Se6 Se 0.500 0.500 0.000
Se7 Se 0.125 0.750 0.375
Se8 Se 0.750 0.125 0.875
Se9 Se 0.750 0.625 0.375
Se10 Se 0.375 0.125 0.750
Se11 Se 0.625 0.875 0.250
Se12 Se 0.500 0.500 0.500
Se13 Se 0.500 0.000 0.000
Se14 Se 0.000 0.000 0.500
Se15 Se 0.250 0.375 0.625
Se16 Se 0.250 0.875 0.125
Se17 Se 0.000 0.500 0.500
Se18 Se 0.875 0.250 0.625
Se19 Se 0.625 0.750 0.875
Se20 Se 0.875 0.625 0.750
Au1 Au 0.732 0.132 0.058
Au2 Au 0.326 0.558 0.426
Au3 Au 0.942 0.368 0.268
Au4 Au 0.558 0.232 0.132
Au5 Au 0.600 0.732 0.674
Au6 Au 0.942 0.574 0.174
Au7 Au 0.326 0.768 0.400
Au8 Au 0.074 0.900 0.132
Au9 Au 0.574 0.942 0.674
Au10 Au 0.732 0.600 0.174
Au11 Au 0.768 0.442 0.368
Au12 Au 0.826 0.926 0.058
Au13 Au 0.132 0.732 0.558
Au14 Au 0.368 0.426 0.100
Au15 Au 0.100 0.926 0.368
Au16 Au 0.400 0.132 0.574
Au17 Au 0.100 0.174 0.232
Au18 Au 0.442 0.674 0.074
Au19 Au 0.826 0.900 0.268
Au20 Au 0.132 0.400 0.074
Au21 Au 0.368 0.942 0.768
Au22 Au 0.574 0.632 0.400
Au23 Au 0.926 0.826 0.558
Au24 Au 0.768 0.326 0.900
Au25 Au 0.426 0.368 0.600
Au26 Au 0.074 0.174 0.442
Au27 Au 0.232 0.674 0.100
Au28 Au 0.174 0.100 0.732
Au29 Au 0.632 0.058 0.232
Au30 Au 0.868 0.600 0.926
Au31 Au 0.558 0.326 0.926
Au32 Au 0.600 0.868 0.426
Au33 Au 0.900 0.826 0.768
Au34 Au 0.900 0.074 0.632
Au35 Au 0.868 0.268 0.442
Au36 Au 0.174 0.074 0.942
Au37 Au 0.632 0.574 0.900
Au38 Au 0.426 0.058 0.326
Au39 Au 0.268 0.400 0.826
Au40 Au 0.232 0.558 0.632
Au41 Au 0.926 0.100 0.868
Au42 Au 0.674 0.232 0.600
Au43 Au 0.442 0.768 0.868
Au44 Au 0.058 0.426 0.826
Au45 Au 0.400 0.268 0.326
Au46 Au 0.058 0.632 0.732
Au47 Au 0.674 0.442 0.574
Au48 Au 0.268 0.868 0.942
```



First-principles (PBE) data for SbAuSe after structural relaxation, as listed in Alexandria via LeMat-Bulk.

Calculated values
Energy relative to the elements, uncorrected ... -25 meV/atom
Density of states at the Fermi level ... 0.403 states/eV/atom
SG ... P1, No. 1

CIF file:
```
data_SbAuSe
_chemical_formula_sum 'Sb2 Au2 Se2'
_cell_length_a 3.804
_cell_length_b 4.333
_cell_length_c 9.060
_cell_angle_alpha 76.03
_cell_angle_beta 77.92
_cell_angle_gamma 89.84
_space_group_name_H-M_alt 'P 1'
_space_group_IT_number 1
loop_
_space_group_symop_operation_xyz
'x,y,z'
loop_
_atom_site_label
_atom_site_type_symbol
_atom_site_fract_x
_atom_site_fract_y
_atom_site_fract_z
Sb1 Sb 0.529 0.133 0.682
Sb2 Sb 0.197 0.801 0.348
Au1 Au 0.692 0.295 0.359
Au2 Au 0.364 0.964 0.015
Se1 Se 0.848 0.446 0.050
Se2 Se 0.032 0.635 0.676
```



First-principles (PBE) data for SbAuSe3 after structural relaxation, as listed in Alexandria via LeMat-Bulk.

Calculated values
Energy relative to the elements, uncorrected ... -52 meV/atom
Density of states at the Fermi level ... 0.473 states/eV/atom
Energy above the lowest structure with this stoichiometry ... 0.00 eV per formula unit
SG ... C2/m, No. 12

CIF file:
```
data_SbAuSe3
_chemical_formula_sum 'Sb2 Au2 Se6'
_cell_length_a 5.545
_cell_length_b 8.856
_cell_length_c 6.989
_cell_angle_alpha 106.00
_cell_angle_beta 90.00
_cell_angle_gamma 108.24
_space_group_name_H-M_alt 'P 1'
_space_group_IT_number 1
loop_
_space_group_symop_operation_xyz
'x,y,z'
loop_
_atom_site_label
_atom_site_type_symbol
_atom_site_fract_x
_atom_site_fract_y
_atom_site_fract_z
Sb1 Sb 0.659 0.318 0.346
Sb2 Sb 0.341 0.682 0.654
Au1 Au 0.835 0.669 0.057
Au2 Au 0.165 0.331 0.943
Se1 Se 0.818 0.637 0.538
Se2 Se 0.322 0.645 0.025
Se3 Se 0.011 0.023 0.841
Se4 Se 0.182 0.363 0.462
Se5 Se 0.989 0.977 0.159
Se6 Se 0.678 0.355 0.975
```



First-principles (PBE) data for Sb3AuSe after structural relaxation, as listed in Alexandria via LeMat-Bulk.

Calculated values
Energy relative to the elements, uncorrected ... -35 meV/atom
Density of states at the Fermi level ... 0.350 states/eV/atom
Energy above the lowest structure with this stoichiometry ... 0.00 eV per formula unit
SG ... C2/c, No. 15

CIF file:
```
data_Sb3AuSe
_chemical_formula_sum 'Sb12 Au4 Se4'
_cell_length_a 6.985
_cell_length_b 9.636
_cell_length_c 9.636
_cell_angle_alpha 112.43
_cell_angle_beta 89.53
_cell_angle_gamma 89.53
_space_group_name_H-M_alt 'P 1'
_space_group_IT_number 1
loop_
_space_group_symop_operation_xyz
'x,y,z'
loop_
_atom_site_label
_atom_site_type_symbol
_atom_site_fract_x
_atom_site_fract_y
_atom_site_fract_z
Sb1 Sb 0.111 0.776 0.908
Sb2 Sb 0.389 0.092 0.224
Sb3 Sb 0.889 0.224 0.092
Sb4 Sb 0.611 0.908 0.776
Sb5 Sb 0.405 0.353 0.998
Sb6 Sb 0.095 0.002 0.647
Sb7 Sb 0.595 0.647 0.002
Sb8 Sb 0.905 0.998 0.353
Sb9 Sb 0.932 0.467 0.850
Sb10 Sb 0.568 0.150 0.533
Sb11 Sb 0.068 0.533 0.150
Sb12 Sb 0.432 0.850 0.467
Au1 Au 0.750 0.937 0.063
Au2 Au 0.250 0.063 0.937
Au3 Au 0.750 0.194 0.806
Au4 Au 0.250 0.806 0.194
Se1 Se 0.421 0.611 0.748
Se2 Se 0.079 0.252 0.389
Se3 Se 0.579 0.389 0.252
Se4 Se 0.921 0.748 0.611
```



First-principles (PBE) data for SbAu2Se after structural relaxation, as listed in Alexandria via LeMat-Bulk.

Calculated values
Energy relative to the elements, uncorrected ... 191 meV/atom
Density of states at the Fermi level ... 0.397 states/eV/atom
SG ... Immm, No. 71

CIF file:
```
data_SbAu2Se
_chemical_formula_sum 'Sb1 Au2 Se1'
_cell_length_a 6.004
_cell_length_b 6.004
_cell_length_c 6.004
_cell_angle_alpha 143.63
_cell_angle_beta 137.32
_cell_angle_gamma 57.29
_space_group_name_H-M_alt 'P 1'
_space_group_IT_number 1
loop_
_space_group_symop_operation_xyz
'x,y,z'
loop_
_atom_site_label
_atom_site_type_symbol
_atom_site_fract_x
_atom_site_fract_y
_atom_site_fract_z
Au1 Au 0.994 0.994 0.000
Au2 Au 0.506 0.506 0.000
Sb1 Sb 0.750 0.250 0.500
Se1 Se 0.250 0.750 0.500
```